1.
# La4ScAg | Alexandria | PBE | relaxed
# DOS at the Fermi energy   9.9 states/eV/f.u.
# Energy relative to the lowest polymorph listed for this composition   455 meV/atom
# Crystal system   cubic
data_La4ScAg
_chemical_formula_sum 'La16 Sc4 Ag4'
_cell_length_a 9.2125
_cell_length_b 9.2125
_cell_length_c 9.2125
_cell_angle_alpha 90.00
_cell_angle_beta 90.00
_cell_angle_gamma 90.00
_symmetry_space_group_name_H-M 'F -4 3 m'
_symmetry_Int_Tables_number 216
_symmetry_space_group_name_Hall 'F -4 2 3'
loop_
_atom_site_label
_atom_site_fract_x
_atom_site_fract_y
_atom_site_fract_z
La1 0.1242 0.1242 0.1242
Sc1 0.2500 0.2500 0.7500
Ag1 0.0000 0.0000 0.5000

=====

2.
# La2ScAg | Alexandria | PBE | relaxed
# DOS at the Fermi energy   7.2 states/eV/f.u.
# Energy relative to the lowest polymorph listed for this composition   138 meV/atom
# Crystal system   tetragonal
data_La2ScAg
_chemical_formula_sum 'La4 Sc2 Ag2'
_cell_length_a 4.6807
_cell_length_b 4.6807
_cell_length_c 10.2940
_cell_angle_alpha 90.00
_cell_angle_beta 90.00
_cell_angle_gamma 90.00
_symmetry_space_group_name_H-M 'I -4 m 2'
_symmetry_Int_Tables_number 119
_symmetry_space_group_name_Hall 'I -4 -2'
loop_
_atom_site_label
_atom_site_fract_x
_atom_site_fract_y
_atom_site_fract_z
La1 0.0000 0.0000 0.0000
La2 0.0000 0.5000 0.2500
Sc1 0.0000 0.5000 0.7500
Ag1 0.0000 0.0000 0.5000

=====

3.
# La2ScAg | Alexandria | PBE | relaxed
# DOS at the Fermi energy   4.0 states/eV/f.u.
# Energy relative to the lowest polymorph listed for this composition   137 meV/atom
# Crystal system   trigonal
data_La2ScAg
_chemical_formula_sum 'La6 Sc3 Ag3'
_cell_length_a 3.6475
_cell_length_b 3.6475
_cell_length_c 31.1928
_cell_angle_alpha 90.00
_cell_angle_beta 90.00
_cell_angle_gamma 120.00
_symmetry_space_group_name_H-M 'R -3 m'
_symmetry_Int_Tables_number 166
_symmetry_space_group_name_Hall '-R 3 2"'
loop_
_atom_site_label
_atom_site_fract_x
_atom_site_fract_y
_atom_site_fract_z
La1 0.0000 0.0000 0.2458
Sc1 0.0000 0.0000 0.0000
Ag1 0.0000 0.0000 0.5000

=====

4.
# LaSc2Ag | Alexandria | PBE | relaxed
# DOS at the Fermi energy   5.0 states/eV/f.u.
# Energy relative to the lowest polymorph listed for this composition   6 meV/atom
# Crystal system   tetragonal
data_LaSc2Ag
_chemical_formula_sum 'La1 Sc2 Ag1'
_cell_length_a 3.5041
_cell_length_b 3.5041
_cell_length_c 8.4352
_cell_angle_alpha 90.00
_cell_angle_beta 90.00
_cell_angle_gamma 90.00
_symmetry_space_group_name_H-M 'P 4 m m'
_symmetry_Int_Tables_number 99
loop_
_symmetry_equiv_pos_as_xyz
'x,y,z'
'-y,x,z'
'-x,-y,z'
'y,-x,z'
'-x,y,z'
'y,x,z'
'x,-y,z'
'-y,-x,z'
loop_
_atom_site_label
_atom_site_fract_x
_atom_site_fract_y
_atom_site_fract_z
La1 0.0000 0.0000 0.0000
Sc1 0.0000 0.0000 0.5456
Sc2 0.5000 0.5000 0.3030
Ag1 0.5000 0.5000 0.7274

=====

5.
# La2ScAg | Alexandria | PBE | relaxed
# DOS at the Fermi energy   4.7 states/eV/f.u.
# Energy relative to the lowest polymorph listed for this composition   140 meV/atom
# Crystal system   trigonal
data_La2ScAg
_chemical_formula_sum 'La6 Sc3 Ag3'
_cell_length_a 3.6216
_cell_length_b 3.6216
_cell_length_c 31.0321
_cell_angle_alpha 90.00
_cell_angle_beta 90.00
_cell_angle_gamma 120.00
_symmetry_space_group_name_H-M 'R 3 m'
_symmetry_Int_Tables_number 160
_symmetry_space_group_name_Hall 'R 3 -2"'
loop_
_atom_site_label
_atom_site_fract_x
_atom_site_fract_y
_atom_site_fract_z
La1 0.0000 0.0000 0.0000
La2 0.0000 0.0000 0.1737
Sc1 0.0000 0.0000 0.4195
Ag1 0.0000 0.0000 0.5876

=====

6.
# LaScAg | Alexandria | PBE | relaxed
# DOS at the Fermi energy   4.0 states/eV/f.u.
# Energy relative to the lowest polymorph listed for this composition   121 meV/atom
# Crystal system   trigonal
data_LaScAg
_chemical_formula_sum 'La1 Sc1 Ag1'
_cell_length_a 4.9540
_cell_length_b 4.9540
_cell_length_c 3.7901
_cell_angle_alpha 90.00
_cell_angle_beta 90.00
_cell_angle_gamma 120.00
_symmetry_space_group_name_H-M 'P 3 m 1'
_symmetry_Int_Tables_number 156
loop_
_symmetry_equiv_pos_as_xyz
'x,y,z'
'-y,x-y,z'
'-x+y,-x,z'
'-y,-x,z'
'-x+y,y,z'
'x,x-y,z'
loop_
_atom_site_label
_atom_site_fract_x
_atom_site_fract_y
_atom_site_fract_z
La1 0.0000 0.0000 0.0000
Sc1 0.6667 0.3333 0.4993
Ag1 0.3333 0.6667 0.5023

=====

7.
# La2ScAg | Alexandria | PBE | relaxed
# DOS at the Fermi energy   4.7 states/eV/f.u.
# Energy relative to the lowest polymorph listed for this composition   48 meV/atom
# Crystal system   monoclinic
data_La2ScAg
_chemical_formula_sum 'La2 Sc1 Ag1'
_cell_length_a 3.7011
_cell_length_b 5.1357
_cell_length_c 6.4463
_cell_angle_alpha 90.00
_cell_angle_beta 106.47
_cell_angle_gamma 90.00
_symmetry_space_group_name_H-M 'P 1 m 1'
_symmetry_Int_Tables_number 6
loop_
_symmetry_equiv_pos_as_xyz
'x,y,z'
'x,-y,z'
loop_
_atom_site_label
_atom_site_fract_x
_atom_site_fract_y
_atom_site_fract_z
La1 0.0000 0.0000 0.0000
La2 0.3137 0.5000 0.6326
Sc1 0.5926 0.5000 0.1865
Ag1 0.7187 0.0000 0.4449

=====

8.
# LaScAg | Alexandria | PBE | relaxed
# DOS at the Fermi energy   3.4 states/eV/f.u.
# Energy relative to the lowest polymorph listed for this composition   0 meV/atom
# Crystal system   tetragonal
data_LaScAg
_chemical_formula_sum 'La2 Sc2 Ag2'
_cell_length_a 4.7348
_cell_length_b 4.7348
_cell_length_c 7.3110
_cell_angle_alpha 90.00
_cell_angle_beta 90.00
_cell_angle_gamma 90.00
_symmetry_space_group_name_H-M 'P 4/n m m'
_symmetry_Int_Tables_number 129
loop_
_symmetry_equiv_pos_as_xyz
'x,y,z'
'-x,-y,-z'
'-y+1/2,x,z'
'y+1/2,-x,-z'
'-x+1/2,-y+1/2,z'
'x+1/2,y+1/2,-z'
'y,-x+1/2,z'
'-y,x+1/2,-z'
'x+1/2,-y,-z'
'-x+1/2,y,z'
'-y,-x,-z'
'y,x,z'
'-x,y+1/2,-z'
'x,-y+1/2,z'
'y+1/2,x+1/2,-z'
'-y+1/2,-x+1/2,z'
loop_
_atom_site_label
_atom_site_fract_x
_atom_site_fract_y
_atom_site_fract_z
La1 0.2500 0.2500 0.1261
Sc1 0.2500 0.7500 0.5000
Ag1 0.2500 0.2500 0.7172

=====

What is the DOS at the Fermi energy in the fourth record? 5.0 states/eV/f.u.

=====

Repeat the sixth record exactly.
# LaScAg | Alexandria | PBE | relaxed
# DOS at the Fermi energy   4.0 states/eV/f.u.
# Energy relative to the lowest polymorph listed for this composition   121 meV/atom
# Crystal system   trigonal
data_LaScAg
_chemical_formula_sum 'La1 Sc1 Ag1'
_cell_length_a 4.9540
_cell_length_b 4.9540
_cell_length_c 3.7901
_cell_angle_alpha 90.00
_cell_angle_beta 90.00
_cell_angle_gamma 120.00
_symmetry_space_group_name_H-M 'P 3 m 1'
_symmetry_Int_Tables_number 156
loop_
_symmetry_equiv_pos_as_xyz
'x,y,z'
'-y,x-y,z'
'-x+y,-x,z'
'-y,-x,z'
'-x+y,y,z'
'x,x-y,z'
loop_
_atom_site_label
_atom_site_fract_x
_atom_site_fract_y
_atom_site_fract_z
La1 0.0000 0.0000 0.0000
Sc1 0.6667 0.3333 0.4993
Ag1 0.3333 0.6667 0.5023

=====

Number 2 is which compound? La2ScAg

=====

Which formula does entry 8 have? LaScAg